VASP calculation (PBEsol) on BaY2MgH after structural relaxation.

Total magnetic moment (μB/atom): 0.000
SG: No. 123
Energy (eV/cell): -12.4

a b c (Å): 5.7271 5.7944 5.7944
angles (deg): 90.00 90.00 90.00
With the nearest neighbours (Å) after each atom.
Sites, in units of the cell vectors:
Y 0.0000 0.0000 0.5000  2 Ba 2.90
Y 0.0000 0.5000 0.0000  2 Ba 2.90
H 0.5000 0.5000 0.5000  8 Y 4.07, 4 Mg 4.10
Ba 0.0000 0.0000 0.0000  2 Mg 2.86, 4 Y 2.90
Mg 0.5000 0.0000 0.0000  2 Ba 2.86